PBE NdGa2Pd, relaxed; density of states at the Fermi level = 1.58 states/eV/f.u.; volume = 82.9 Å³ per cell; ΔE_f = -2.94 eV per formula unit; raw total energy = -18.96 eV/cell
1.0
-0.6964 -3.4728 2.4318
-0.1420 -3.8950 -1.8076
4.8310 -2.9765 0.9282
Ga Nd Pd
2 1 1
Cartesian
0.4631 -2.5316 0.3127
3.5295 -7.8127 1.2397
1.9963 -5.1721 0.7762
0.0000 0.0000 0.0000